VASP calculation (PBE with a Hubbard U) on crystalline KErCr2O8 at its relaxed geometry.

The structure belongs to space group P-3m1 (No. 164); the cell edges are 5.7497, 5.7497 and 7.6412 Å and the angles 90.00°, 90.00° and 120.00°. The inequivalent atoms are K at (0.0000, 0.0000, 0.0000), Er at (0.0000, 0.0000, 0.5000), Cr at (0.3333, 0.6667, 0.7544), O at (0.1739, 0.3478, 0.6826) and O at (0.3333, 0.6667, 0.9663).

The uncorrected energy is -6.931 eV/atom. The calculation puts the total magnetization at 0.0 μB/cell. The value obtained for the density is 3.3 g/cm3. The calculation puts the density of states at the Fermi level at 0.000 states/eV per atom.